[1]
Computed, not measured: crystalline Nd4Sn3Pd at its relaxed geometry at the PBE-GGA level of DFT.

Cell and atoms, written as POSCAR:
```
Nd4Sn3Pd
1.0
4.4676 0.0000 0.0000
0.0000 4.4834 0.0000
0.0000 0.0000 11.6071
Nd Sn Pd
4 3 1
Direct
0.0000 0.0000 0.0000
0.0000 0.5000 0.2606
0.5000 0.0000 0.4745
0.5000 0.5000 0.7666
0.0000 0.0000 0.7167
0.0000 0.5000 0.5390
0.5000 0.5000 0.0463
0.5000 0.0000 0.2067
```

Output
- symmetry = Pmm2 (25)
- formation energy from the elements (eV/atom) = -0.74

[2]
Computed, not measured: crystalline ZnIn4Au at its relaxed geometry at the PBE-GGA level of DFT.

Cell and atoms, written as POSCAR:
```
ZnIn4Au
1.0
0.0000 4.2981 4.2981
4.2981 0.0000 4.2981
4.2981 4.2981 0.0000
Zn In Au
1 4 1
Direct
0.0000 0.0000 0.0000
0.3751 0.3751 0.3751
0.3751 0.3751 0.8746
0.3751 0.8746 0.3751
0.8746 0.3751 0.3751
0.7500 0.7500 0.7500
```

Output
- symmetry = F-43m (216)
- formation energy from the elements (eV/atom) = 0.31

[3]
Computed, not measured: crystalline Li2CaAc at its relaxed geometry at the PBE-GGA level of DFT.

Cell and atoms, written as POSCAR:
```
Li2CaAc
1.0
1.8877 1.0899 11.2805
-1.8877 1.0899 11.2805
0.0000 -2.1797 11.2805
Li Ca Ac
2 1 1
Direct
0.0000 0.0000 0.0000
0.1702 0.1702 0.1702
0.5857 0.5857 0.5857
0.4183 0.4183 0.4183
```

Output
- symmetry = R3m (160)
- formation energy from the elements (eV/atom) = 0.15
- energy above the most stable polymorph in this dataset (eV/atom) = 0.093

[4]
Computed, not measured: crystalline KTa2Cd at its relaxed geometry at the PBE-GGA level of DFT.

Cell and atoms, written as POSCAR:
```
KTa2Cd
1.0
1.4708 0.8492 11.8139
-1.4708 0.8492 11.8139
0.0000 -1.6983 11.8139
K Ta Cd
1 2 1
Direct
0.0000 0.0000 0.0000
0.2404 0.2404 0.2404
0.7597 0.7597 0.7597
0.5000 0.5000 0.5000
```

Output
- symmetry = R-3m (166)
- formation energy from the elements (eV/atom) = 0.81

[5]
Computed, not measured: crystalline K2PrGaO4 at its relaxed geometry at the PBE-GGA level of DFT.

Cell and atoms, written as POSCAR:
```
K2PrGaO4
1.0
-2.9786 2.9786 4.3667
2.9786 -2.9786 4.3667
2.9786 2.9786 -4.3667
K Pr Ga O
2 1 1 4
Direct
0.0000 0.0000 0.0000
0.7500 0.2500 0.5000
0.5000 0.5000 0.0000
0.2500 0.7500 0.5000
0.2043 0.0818 0.5607
0.3564 0.7957 0.8775
0.5211 0.6436 0.4393
0.9182 0.4789 0.1225
```

Output
- symmetry = I-4 (82)
- E_form (uncorrected) (kJ/mol of formula units) = -1652

[6]
Computed, not measured: crystalline CsBa3O at its relaxed geometry at the PBE-GGA level of DFT.

Cell and atoms, written as POSCAR:
```
CsBa3O
1.0
5.9939 0.0000 0.0000
0.0000 5.9939 0.0000
0.0000 0.0000 5.9939
Cs Ba O
1 3 1
Direct
0.0000 0.0000 0.0000
0.0000 0.5000 0.5000
0.5000 0.0000 0.5000
0.5000 0.5000 0.0000
0.5000 0.5000 0.5000
```

Output
- symmetry = Pm-3m (221)
- energy above the most stable polymorph in this dataset (eV/atom) = 0.000
- E_form (uncorrected) (kJ/mol of formula units) = -308

[7]
Computed, not measured: crystalline TlCr2Cd at its relaxed geometry at the PBE-GGA level of DFT.

Cell and atoms, written as POSCAR:
```
TlCr2Cd
1.0
1.6065 0.9275 9.1082
-1.6065 0.9275 9.1082
0.0000 -1.8550 9.1082
Tl Cr Cd
1 2 1
Direct
0.0000 0.0000 0.0000
0.2494 0.2494 0.2494
0.7506 0.7506 0.7506
0.5000 0.5000 0.5000
```

Output
- symmetry = R-3m (166)
- formation energy from the elements (eV/atom) = 0.70

[8]
Computed, not measured: crystalline Cr2NiMo at its relaxed geometry at the PBE-GGA level of DFT.

Cell and atoms, written as POSCAR:
```
Cr2NiMo
1.0
4.3255 -1.2597 0.0000
4.3255 1.2597 0.0000
-0.5928 0.0000 4.6588
Cr Ni Mo
2 1 1
Direct
0.0000 0.0000 0.0000
0.2438 0.2438 0.7637
0.7369 0.7369 0.2395
0.4844 0.4844 0.4892
```

Output
- symmetry = Cm (8)
- formation energy from the elements (eV/atom) = 0.24

Number 1: theoretical density 7.4 g cm⁻³, VASP energy -5.2771 eV per atom, DOS at the Fermi energy 0.755 states/eV per atom. Number 2: theoretical density 7.5 g cm⁻³, VASP energy -2.2737 eV per atom, DOS at the Fermi energy 0.512 states/eV per atom. Number 3: theoretical density 3.4 g cm⁻³, VASP energy -2.3318 eV per atom, DOS at the Fermi energy 0.962 states/eV per atom. Number 4: theoretical density 9.6 g cm⁻³, VASP energy -5.6199 eV per atom, DOS at the Fermi energy 0.648 states/eV per atom. Number 5: theoretical density 3.8 g cm⁻³, VASP energy -5.8694 eV per atom, DOS at the Fermi energy 0.000 states/eV per atom. Number 6: theoretical density 4.3 g cm⁻³, VASP energy -2.9545 eV per atom, DOS at the Fermi energy 1.301 states/eV per atom. Number 7: theoretical density 8.6 g cm⁻³, VASP energy -4.9281 eV per atom, DOS at the Fermi energy 1.240 states/eV per atom. Number 8: theoretical density 8.5 g cm⁻³, VASP energy -8.7289 eV per atom, DOS at the Fermi energy 1.072 states/eV per atom.